No. 1
VASP calculation (PBE) on a relaxed Ce4PrMg crystal.

Properties
Formation enthalpy at 0 K (eV/atom): 0.22

abc: 6.309 6.309 6.309
angles: 60.00 60.00 60.00
Atoms (fractional coordinates):
Ce: 0.113 0.113 0.113
Ce: 0.113 0.113 0.662
Ce: 0.113 0.662 0.113
Ce: 0.662 0.113 0.113
Pr: 0.500 0.500 0.500
Mg: 0.750 0.750 0.750

=====

No. 2
VASP calculation (PBE) on a relaxed MgCo2Pb crystal.

Properties
Formation enthalpy at 0 K (eV/atom): 0.27

abc: 4.247 4.247 3.362
angles: 90.00 90.00 90.00
Atoms (fractional coordinates):
Mg: 0.000 0.000 0.000
Co: 0.000 0.500 0.500
Co: 0.500 0.000 0.500
Pb: 0.500 0.500 0.000

=====

No. 3
VASP calculation (PBE) on a relaxed Li3OsPb crystal.

Properties
Formation enthalpy at 0 K (eV/atom): 0.83

abc: 4.695 4.695 4.695
angles: 90.00 90.00 90.00
Atoms (fractional coordinates):
Li: 0.000 0.000 0.500
Li: 0.000 0.500 0.000
Li: 0.500 0.000 0.000
Os: 0.000 0.000 0.000
Pb: 0.500 0.500 0.500

=====

No. 4
VASP calculation (PBE) on a relaxed NaIn3Pb crystal.

Properties
Formation enthalpy at 0 K (eV/atom): 0.44

abc: 5.493 5.493 5.493
angles: 90.00 90.00 90.00
Atoms (fractional coordinates):
Na: 0.000 0.000 0.000
In: 0.000 0.000 0.500
In: 0.000 0.500 0.000
In: 0.500 0.000 0.000
Pb: 0.500 0.500 0.500

=====

No. 5
VASP calculation (PBE) on a relaxed NbAgP2O crystal.

Properties
Energy relative to the elements, uncorrected (eV/f.u.): 4.4

abc: 4.707 4.707 3.905
angles: 90.00 90.00 90.00
Atoms (fractional coordinates):
Nb: 0.000 0.000 0.000
Ag: 0.500 0.500 0.500
P: 0.000 0.500 0.500
P: 0.500 0.000 0.500
O: 0.500 0.500 0.000

=====

No. 6
VASP calculation (PBE) on a relaxed TbSc2Pt3 crystal.

Properties
Formation enthalpy at 0 K (eV/atom): -1.22

abc: 3.326 3.326 10.358
angles: 90.00 90.00 90.00
Atoms (fractional coordinates):
Tb: 0.000 0.000 0.000
Sc: 0.000 0.000 0.340
Sc: 0.000 0.000 0.660
Pt: 0.500 0.500 0.191
Pt: 0.500 0.500 0.500
Pt: 0.500 0.500 0.809

=====

No. 7
VASP calculation (PBE) on a relaxed CrNiW crystal.

Properties
Formation enthalpy at 0 K (eV/atom): 0.22

abc: 4.231 4.231 2.533
angles: 90.00 90.00 120.00
Atoms (fractional coordinates):
Cr: 0.000 0.000 0.000
Ni: 0.667 0.333 0.106
W: 0.333 0.667 0.583

=====

No. 8
VASP calculation (PBE) on a relaxed MgTiCdTe2 crystal.

Properties
Energy relative to the elements, uncorrected (eV/f.u.): 3.4

abc: 5.640 5.640 5.172
angles: 90.00 90.00 90.00
Atoms (fractional coordinates):
Mg: 0.000 0.000 0.000
Ti: 0.500 0.500 0.000
Cd: 0.500 0.500 0.500
Te: 0.000 0.500 0.500
Te: 0.500 0.000 0.500

=====

No. 9
VASP calculation (PBE) on a relaxed Nb2SiGe2 crystal.

Properties
Energy relative to the elements, uncorrected (eV/f.u.): -0.1

abc: 6.794 6.794 3.606
angles: 90.00 90.00 90.00
Atoms (fractional coordinates):
Nb: 0.171 0.329 0.000
Nb: 0.329 0.829 0.000
Nb: 0.671 0.171 0.000
Nb: 0.829 0.671 0.000
Si: 0.000 0.000 0.500
Si: 0.500 0.500 0.500
Ge: 0.132 0.632 0.500
Ge: 0.368 0.132 0.500
Ge: 0.632 0.868 0.500
Ge: 0.868 0.368 0.500

=====

No. 10
VASP calculation (PBE) on a relaxed SiPdPt crystal.

Properties
Energy relative to the elements, uncorrected (eV/f.u.): -1.5

abc: 4.199 4.234 9.847
angles: 90.00 90.00 90.00
Atoms (fractional coordinates):
Si: 0.000 0.000 0.000
Si: 0.000 0.500 0.500
Si: 0.500 0.000 0.500
Si: 0.500 0.500 0.000
Pd: 0.000 0.000 0.645
Pd: 0.000 0.500 0.145
Pd: 0.500 0.000 0.145
Pd: 0.500 0.500 0.645
Pt: 0.000 0.000 0.361
Pt: 0.000 0.500 0.861
Pt: 0.500 0.000 0.861
Pt: 0.500 0.500 0.361

=====

No. 11
VASP calculation (PBE) on a relaxed Si2SbRh crystal.

Properties
Energy relative to the elements, uncorrected (eV/f.u.): 0.7

abc: 2.951 4.793 9.941
angles: 90.00 90.00 90.00
Atoms (fractional coordinates):
Si: 0.000 0.000 0.212
Si: 0.000 0.000 0.788
Si: 0.500 0.500 0.288
Si: 0.500 0.500 0.712
Sb: 0.000 0.500 0.000
Sb: 0.500 0.000 0.500
Rh: 0.000 0.500 0.500
Rh: 0.500 0.000 0.000

=====

No. 12
VASP calculation (PBE) on a relaxed SbMo2HSe crystal.

Properties
Calculated total energy (eV per atom): -5.922

abc: 4.890 4.890 3.330
angles: 90.00 90.00 90.00
Atoms (fractional coordinates):
Sb: 0.000 0.000 0.000
Mo: 0.000 0.500 0.500
Mo: 0.500 0.000 0.500
H: 0.500 0.500 0.000
Se: 0.500 0.500 0.500